[1]
# TiPS4 (GGA-PBE, optimized geometry)
data_TiPS4
_symmetry_space_group_name_H-M 'C 1 2 1'
_symmetry_Int_Tables_number 5
_cell_length_a 7.008
_cell_length_b 7.155
_cell_length_c 6.163
_cell_angle_alpha 90.00
_cell_angle_beta 123.24
_cell_angle_gamma 90.00
loop_
_symmetry_equiv_pos_as_xyz
'x,y,z'
'-x,y,-z'
'x+1/2,y+1/2,z'
'-x+1/2,y+1/2,-z'
loop_
_atom_site_label
_atom_site_type_symbol
_atom_site_fract_x
_atom_site_fract_y
_atom_site_fract_z
Ti1 Ti 0.000 0.000 0.000
P1 P 0.000 0.129 0.500
S1 S 0.211 0.215 0.920
S2 S 0.219 0.964 0.458
# formation energy from raw total energies	-0.5212	eV/atom
# E_tot	-5.490	eV/atom

[2]
# La4TcSe2Cl (GGA-PBE, optimized geometry)
data_La4TcSe2Cl
_symmetry_space_group_name_H-M 'P 1 2/m 1'
_symmetry_Int_Tables_number 10
_cell_length_a 7.593
_cell_length_b 4.056
_cell_length_c 7.611
_cell_angle_alpha 90.00
_cell_angle_beta 104.86
_cell_angle_gamma 90.00
loop_
_symmetry_equiv_pos_as_xyz
'x,y,z'
'-x,-y,-z'
'-x,y,-z'
'x,-y,z'
loop_
_atom_site_label
_atom_site_type_symbol
_atom_site_fract_x
_atom_site_fract_y
_atom_site_fract_z
La1 La 0.218 0.000 0.267
La2 La 0.243 0.500 0.745
Tc1 Tc 0.000 0.000 0.500
Se1 Se 0.000 0.500 0.000
Se2 Se 0.500 0.000 0.000
Cl1 Cl 0.500 0.500 0.500
# formation energy from raw total energies	-1.3183	eV/atom
# E_tot	-6.180	eV/atom

[3]
# TlCoW4 (GGA-PBE, optimized geometry)
data_TlCoW4
_symmetry_space_group_name_H-M 'F -4 3 m'
_symmetry_Int_Tables_number 216
_symmetry_space_group_name_Hall 'F -4 2 3'
_cell_length_a 7.517
_cell_length_b 7.517
_cell_length_c 7.517
_cell_angle_alpha 90.00
_cell_angle_beta 90.00
_cell_angle_gamma 90.00
loop_
_atom_site_label
_atom_site_type_symbol
_atom_site_fract_x
_atom_site_fract_y
_atom_site_fract_z
Tl1 Tl 0.000 0.000 0.000
Co1 Co 0.250 0.250 0.750
W1 W 0.125 0.125 0.375
# formation enthalpy at 0 K	919	meV per atom
# E_tot	-9.295	eV/atom

[4]
# CaFe2Te (GGA-PBE, optimized geometry)
data_CaFe2Te
_symmetry_space_group_name_H-M 'I -4 m 2'
_symmetry_Int_Tables_number 119
_symmetry_space_group_name_Hall 'I -4 -2'
_cell_length_a 4.243
_cell_length_b 4.243
_cell_length_c 8.348
_cell_angle_alpha 90.00
_cell_angle_beta 90.00
_cell_angle_gamma 90.00
loop_
_atom_site_label
_atom_site_type_symbol
_atom_site_fract_x
_atom_site_fract_y
_atom_site_fract_z
Ca1 Ca 0.000 0.000 0.000
Fe1 Fe 0.000 0.000 0.500
Fe2 Fe 0.000 0.500 0.750
Te1 Te 0.000 0.500 0.250
# formation energy from raw total energies	0.2870	eV/atom
# energy relative to the lowest polymorph listed for this composition	0.402	eV/atom
# E_tot	-5.230	eV/atom

[5]
# Nd5Sb4As (GGA-PBE, optimized geometry)
data_Nd5Sb4As
_symmetry_space_group_name_H-M 'I 4/m m m'
_symmetry_Int_Tables_number 139
_symmetry_space_group_name_Hall '-I 4 2'
_cell_length_a 4.481
_cell_length_b 4.481
_cell_length_c 31.623
_cell_angle_alpha 90.00
_cell_angle_beta 90.00
_cell_angle_gamma 90.00
loop_
_atom_site_label
_atom_site_type_symbol
_atom_site_fract_x
_atom_site_fract_y
_atom_site_fract_z
Nd1 Nd 0.000 0.000 0.000
Nd2 Nd 0.000 0.000 0.200
Nd3 Nd 0.000 0.000 0.405
Sb1 Sb 0.000 0.000 0.099
Sb2 Sb 0.000 0.000 0.302
As1 As 0.000 0.000 0.500
# formation energy from raw total energies	-1.2359	eV/atom
# E_tot	-5.734	eV/atom

What is the E_tot in the fifth record? -5.734 eV/atom

Which formula does entry 2 have? La4TcSe2Cl

Copy entry 4 word for word.
# CaFe2Te (GGA-PBE, optimized geometry)
data_CaFe2Te
_symmetry_space_group_name_H-M 'I -4 m 2'
_symmetry_Int_Tables_number 119
_symmetry_space_group_name_Hall 'I -4 -2'
_cell_length_a 4.243
_cell_length_b 4.243
_cell_length_c 8.348
_cell_angle_alpha 90.00
_cell_angle_beta 90.00
_cell_angle_gamma 90.00
loop_
_atom_site_label
_atom_site_type_symbol
_atom_site_fract_x
_atom_site_fract_y
_atom_site_fract_z
Ca1 Ca 0.000 0.000 0.000
Fe1 Fe 0.000 0.000 0.500
Fe2 Fe 0.000 0.500 0.750
Te1 Te 0.000 0.500 0.250
# formation energy from raw total energies	0.2870	eV/atom
# energy relative to the lowest polymorph listed for this composition	0.402	eV/atom
# E_tot	-5.230	eV/atom

Which of these has the lowest E_tot? TlCoW4